# 1
{"formula": "CeYMo", "functional": "PBE-GGA", "state": "relaxed", "e_form_ev_per_atom": 0.17, "magnetic_moment_mub_per_cell": 0.00, "dft_energy_ev_per_atom": -7.574, "cell": [[12.4504, 0.0000, 0.0000], [0.0000, 4.6326, 0.0000], [-0.8632, 0.0000, 5.5623]], "species": ["Ce", "Ce", "Ce", "Ce", "Y", "Y", "Y", "Y", "Mo", "Mo", "Mo", "Mo"], "frac_coords": [[0.0937, 0.0000, 0.2933], [0.4063, 0.5000, 0.7067], [0.5937, 0.5000, 0.2933], [0.9063, 0.0000, 0.7067], [0.1299, 0.5000, 0.8467], [0.3701, 0.0000, 0.1533], [0.6299, 0.0000, 0.8467], [0.8701, 0.5000, 0.1533], [0.2375, 0.0000, 0.6223], [0.2625, 0.5000, 0.3777], [0.7375, 0.5000, 0.6223], [0.7625, 0.0000, 0.3777]]}

=====

# 2
{"formula": "Pu2MgF8", "functional": "PBE-GGA", "state": "relaxed", "magnetic_moment_mub_per_cell": 10.00, "dft_energy_ev_per_atom": -7.359, "polymorph_energy_mev_per_atom": 267, "e_form_raw_mev_per_atom": -3247, "cell": [[5.8248, -2.4087, 0.0000], [5.8248, 2.4087, 0.0000], [-2.1821, 0.0000, 5.7257]], "species": ["Pu", "Pu", "Mg", "F", "F", "F", "F", "F", "F", "F", "F"], "frac_coords": [[0.1525, 0.1525, 0.1247], [0.8475, 0.8475, 0.8753], [0.0000, 0.0000, 0.5000], [0.2372, 0.7576, 0.2357], [0.2424, 0.7628, 0.7643], [0.2688, 0.2688, 0.8776], [0.3103, 0.3103, 0.4325], [0.6897, 0.6897, 0.5675], [0.7312, 0.7312, 0.1224], [0.7576, 0.2372, 0.2357], [0.7628, 0.2424, 0.7643]]}

=====

# 3
{"formula": "YTcTe3", "functional": "PBE-GGA", "state": "relaxed", "magnetic_moment_mub_per_cell": 2.45, "dft_energy_ev_per_atom": -5.199, "polymorph_energy_mev_per_atom": 0, "e_form_raw_mev_per_atom": 52, "cell": [[5.3053, 0.0000, 0.0000], [0.0000, 5.3053, 0.0000], [0.0000, 0.0000, 5.3053]], "species": ["Y", "Tc", "Te", "Te", "Te"], "frac_coords": [[0.0000, 0.0000, 0.0000], [0.5000, 0.5000, 0.5000], [0.0000, 0.5000, 0.5000], [0.5000, 0.0000, 0.5000], [0.5000, 0.5000, 0.0000]]}

=====

# 4
{"formula": "Nb3Ir12Pd5", "functional": "PBE-GGA", "state": "relaxed", "e_form_ev_per_atom": 0.73, "magnetic_moment_mub_per_cell": 0.00, "dft_energy_ev_per_atom": -7.395, "cell": [[-7.3985, 7.3985, 7.3985], [7.3985, -7.3985, 7.3985], [7.3985, 7.3985, -7.3985]], "species": ["Nb", "Nb", "Nb", "Nb", "Nb", "Nb", "Nb", "Nb", "Nb", "Nb", "Nb", "Nb", "Ir", "Ir", "Ir", "Ir", "Ir", "Ir", "Ir", "Ir", "Ir", "Ir", "Ir", "Ir", "Ir", "Ir", "Ir", "Ir", "Ir", "Ir", "Ir", "Ir", "Ir", "Ir", "Ir", "Ir", "Ir", "Ir", "Ir", "Ir", "Ir", "Ir", "Ir", "Ir", "Ir", "Ir", "Ir", "Ir", "Ir", "Ir", "Ir", "Ir", "Ir", "Ir", "Ir", "Ir", "Ir", "Ir", "Ir", "Ir", "Pd", "Pd", "Pd", "Pd", "Pd", "Pd", "Pd", "Pd", "Pd", "Pd", "Pd", "Pd", "Pd", "Pd", "Pd", "Pd", "Pd", "Pd", "Pd", "Pd"], "frac_coords": [[0.1250, 0.2500, 0.3750], [0.1250, 0.3750, 0.7500], [0.2500, 0.3750, 0.1250], [0.2500, 0.8750, 0.6250], [0.3750, 0.1250, 0.2500], [0.3750, 0.7500, 0.1250], [0.6250, 0.2500, 0.8750], [0.6250, 0.8750, 0.7500], [0.7500, 0.1250, 0.3750], [0.7500, 0.6250, 0.8750], [0.8750, 0.6250, 0.2500], [0.8750, 0.7500, 0.6250], [0.0686, 0.2286, 0.1476], [0.0686, 0.3401, 0.9211], [0.0789, 0.6476, 0.4190], [0.0789, 0.9314, 0.6599], [0.0810, 0.7286, 0.6599], [0.0810, 0.8524, 0.4211], [0.1476, 0.0686, 0.2286], [0.1476, 0.5789, 0.9190], [0.1599, 0.2286, 0.5810], [0.1599, 0.4314, 0.5789], [0.2286, 0.1476, 0.0686], [0.2286, 0.5810, 0.1599], [0.2714, 0.3401, 0.9190], [0.2714, 0.4314, 0.3524], [0.3401, 0.9190, 0.2714], [0.3401, 0.9211, 0.0686], [0.3524, 0.2714, 0.4314], [0.3524, 0.5810, 0.9211], [0.4190, 0.0789, 0.6476], [0.4190, 0.8401, 0.7714], [0.4211, 0.0810, 0.8524], [0.4211, 0.8401, 0.5686], [0.4314, 0.3524, 0.2714], [0.4314, 0.5789, 0.1599], [0.5686, 0.4211, 0.8401], [0.5686, 0.6476, 0.7286], [0.5789, 0.1599, 0.4314], [0.5789, 0.9190, 0.1476], [0.5810, 0.1599, 0.2286], [0.5810, 0.9211, 0.3524], [0.6476, 0.4190, 0.0789], [0.6476, 0.7286, 0.5686], [0.6599, 0.0789, 0.9314], [0.6599, 0.0810, 0.7286], [0.7286, 0.5686, 0.6476], [0.7286, 0.6599, 0.0810], [0.7714, 0.4190, 0.8401], [0.7714, 0.8524, 0.9314], [0.8401, 0.5686, 0.4211], [0.8401, 0.7714, 0.4190], [0.8524, 0.4211, 0.0810], [0.8524, 0.9314, 0.7714], [0.9190, 0.1476, 0.5789], [0.9190, 0.2714, 0.3401], [0.9211, 0.0686, 0.3401], [0.9211, 0.3524, 0.5810], [0.9314, 0.6599, 0.0789], [0.9314, 0.7714, 0.8524], [0.0000, 0.0000, 0.0000], [0.0000, 0.0000, 0.5000], [0.0000, 0.5000, 0.0000], [0.0000, 0.5000, 0.5000], [0.1250, 0.7500, 0.8750], [0.1250, 0.8750, 0.2500], [0.2500, 0.1250, 0.8750], [0.2500, 0.6250, 0.3750], [0.3750, 0.2500, 0.6250], [0.3750, 0.6250, 0.7500], [0.5000, 0.0000, 0.0000], [0.5000, 0.0000, 0.5000], [0.5000, 0.5000, 0.0000], [0.5000, 0.5000, 0.5000], [0.6250, 0.3750, 0.2500], [0.6250, 0.7500, 0.3750], [0.7500, 0.3750, 0.6250], [0.7500, 0.8750, 0.1250], [0.8750, 0.1250, 0.7500], [0.8750, 0.2500, 0.1250]]}

=====

# 5
{"formula": "CaBr2", "functional": "PBE-GGA", "state": "relaxed", "magnetic_moment_mub_per_cell": 0.00, "dft_energy_ev_per_atom": -3.761, "e_form_raw_mev_per_atom": -1979, "cell": [[4.2935, 0.0000, 0.0000], [0.0000, 19.2366, 0.0000], [0.0000, 0.0000, 5.8207]], "species": ["Ca", "Ca", "Ca", "Ca", "Br", "Br", "Br", "Br", "Br", "Br", "Br", "Br"], "frac_coords": [[0.0000, 0.1734, 0.2500], [0.0000, 0.8266, 0.7500], [0.5000, 0.3266, 0.7500], [0.5000, 0.6734, 0.2500], [0.0000, 0.2124, 0.7500], [0.0000, 0.4181, 0.7500], [0.0000, 0.5819, 0.2500], [0.0000, 0.7876, 0.2500], [0.5000, 0.0819, 0.2500], [0.5000, 0.2876, 0.2500], [0.5000, 0.7124, 0.7500], [0.5000, 0.9181, 0.7500]]}

=====

# 6
{"formula": "Nd6Fe13Sn", "functional": "PBE-GGA", "state": "relaxed", "e_form_ev_per_atom": -0.09, "magnetic_moment_mub_per_cell": 52.20, "dft_energy_ev_per_atom": -7.221, "cell": [[-4.0267, 4.0267, 11.7493], [4.0267, -4.0267, 11.7493], [4.0267, 4.0267, -11.7493]], "species": ["Nd", "Nd", "Nd", "Nd", "Nd", "Nd", "Nd", "Nd", "Nd", "Nd", "Nd", "Nd", "Fe", "Fe", "Fe", "Fe", "Fe", "Fe", "Fe", "Fe", "Fe", "Fe", "Fe", "Fe", "Fe", "Fe", "Fe", "Fe", "Fe", "Fe", "Fe", "Fe", "Fe", "Fe", "Fe", "Fe", "Fe", "Fe", "Sn", "Sn"], "frac_coords": [[0.0204, 0.5204, 0.1716], [0.1044, 0.1044, 0.0000], [0.1513, 0.9796, 0.5000], [0.3487, 0.8487, 0.8284], [0.3956, 0.3956, 0.0000], [0.4796, 0.6513, 0.5000], [0.5204, 0.3487, 0.5000], [0.6044, 0.6044, 0.0000], [0.6513, 0.1513, 0.1716], [0.8487, 0.0204, 0.5000], [0.8956, 0.8956, 0.0000], [0.9796, 0.4796, 0.8284], [0.0000, 0.5000, 0.5000], [0.0202, 0.2936, 0.5000], [0.0663, 0.2095, 0.2759], [0.1206, 0.6206, 0.8580], [0.2064, 0.4798, 0.5000], [0.2095, 0.9337, 0.1432], [0.2374, 0.7374, 0.8580], [0.2626, 0.1206, 0.5000], [0.2905, 0.4337, 0.7241], [0.2936, 0.7936, 0.2734], [0.3794, 0.2374, 0.5000], [0.4337, 0.7095, 0.1432], [0.4798, 0.9798, 0.2734], [0.5000, 0.0000, 0.5000], [0.5202, 0.0202, 0.7266], [0.5663, 0.2905, 0.8568], [0.6206, 0.7626, 0.5000], [0.7064, 0.2064, 0.7266], [0.7095, 0.5663, 0.2759], [0.7374, 0.8794, 0.5000], [0.7626, 0.2626, 0.1420], [0.7905, 0.0663, 0.8568], [0.7936, 0.5202, 0.5000], [0.8794, 0.3794, 0.1420], [0.9337, 0.7905, 0.7241], [0.9798, 0.7064, 0.5000], [0.2500, 0.2500, 0.0000], [0.7500, 0.7500, 0.0000]]}

=====

# 7
{"formula": "KMn2CuB", "functional": "PBE-GGA", "state": "relaxed", "e_form_ev_per_atom": 2.68, "magnetic_moment_mub_per_cell": 8.14, "dft_energy_ev_per_atom": -3.360, "cell": [[4.9941, 0.0000, 0.0000], [0.0000, 4.9941, 0.0000], [0.0000, 0.0000, 4.5442]], "species": ["K", "Mn", "Mn", "Cu", "B"], "frac_coords": [[0.0000, 0.0000, 0.0000], [0.0000, 0.5000, 0.0000], [0.5000, 0.0000, 0.0000], [0.5000, 0.5000, 0.5000], [0.0000, 0.0000, 0.5000]]}

=====

# 8
{"formula": "YPaPdRu", "functional": "PBE-GGA", "state": "relaxed", "e_form_ev_per_atom": -0.44, "magnetic_moment_mub_per_cell": 0.01, "dft_energy_ev_per_atom": -8.051, "cell": [[6.9381, 0.0000, 0.0000], [0.0000, 6.9381, 0.0000], [0.0000, 0.0000, 6.9381]], "species": ["Y", "Y", "Y", "Y", "Pa", "Pa", "Pa", "Pa", "Pd", "Pd", "Pd", "Pd", "Ru", "Ru", "Ru", "Ru"], "frac_coords": [[0.0000, 0.0000, 0.0000], [0.0000, 0.5000, 0.5000], [0.5000, 0.0000, 0.5000], [0.5000, 0.5000, 0.0000], [0.0000, 0.0000, 0.5000], [0.0000, 0.5000, 0.0000], [0.5000, 0.0000, 0.0000], [0.5000, 0.5000, 0.5000], [0.2500, 0.2500, 0.7500], [0.2500, 0.7500, 0.2500], [0.7500, 0.2500, 0.2500], [0.7500, 0.7500, 0.7500], [0.2500, 0.2500, 0.2500], [0.2500, 0.7500, 0.7500], [0.7500, 0.2500, 0.7500], [0.7500, 0.7500, 0.2500]]}